DFT (PBE) results for crystalline Rb2AuI6 at its relaxed geometry.

raw formation energy = -4.58 eV per formula unit

abc: 8.1715 8.1715 15.1218
angles: 90.00 90.00 90.00
Last column: magnetic moment on the atom in μB.
Sites, in units of the cell vectors:
I  0.8347  0.1653  0.6274  0.03
I  0.2291  0.7709  0.0000  0.24
I  0.2709  0.2709  0.5000  0.24
I  0.7291  0.7291  0.5000  0.24
I  0.6653  0.6653  0.1274  0.03
I  0.8347  0.1653  0.3726  0.03
I  0.1653  0.8347  0.3726  0.03
I  0.3347  0.3347  0.1274  0.03
I  0.7709  0.2291  0.0000  0.24
I  0.6653  0.6653  0.8726  0.03
I  0.1653  0.8347  0.6274  0.03
I  0.3347  0.3347  0.8726  0.03
Rb  0.0000  0.0000  0.8371  0.00
Rb  0.0000  0.0000  0.1629  0.00
Rb  0.5000  0.5000  0.6629  0.00
Rb  0.5000  0.5000  0.3371  0.00
Au  0.0000  0.0000  0.5000  0.14
Au  0.5000  0.5000  0.0000  0.14

---

DFT (PBE) results for crystalline Rb3Au2I8 at its relaxed geometry.

raw formation energy = -8.00 eV per formula unit

abc: 7.7902 7.7902 12.0952
angles: 71.21 71.21 60.00
Sites, in units of the cell vectors:
Au  0.3955  0.3955  0.8135
Au  0.6045  0.6045  0.1865
I  0.7910  0.2601  0.6887
I  0.7399  0.2090  0.3113
I  0.6837  0.6837  0.9490
I  0.7399  0.7399  0.3113
I  0.2601  0.7910  0.6887
I  0.2090  0.7399  0.3113
I  0.2601  0.2601  0.6887
I  0.3163  0.3163  0.0510
Rb  0.7924  0.7924  0.6229
Rb  0.0000  0.0000  0.0000
Rb  0.2076  0.2076  0.3771

---

DFT (PBE) results for crystalline Rb3Au2I7 at its relaxed geometry.

raw formation energy = -8.90 eV per formula unit

abc: 5.7735 5.9349 14.9398
angles: 101.46 90.00 90.00
Sites, in units of the cell vectors:
I  0.0000  0.4067  0.8133
I  0.0000  0.1966  0.3931
I  0.0000  0.8034  0.6069
I  0.5000  0.0940  0.1880
I  0.0000  0.0000  0.0000
I  0.0000  0.5933  0.1867
I  0.5000  0.9060  0.8120
Rb  0.5000  0.5000  0.0000
Rb  0.5000  0.6768  0.3536
Rb  0.5000  0.3232  0.6464
Au  0.0000  0.9012  0.8023
Au  0.0000  0.0988  0.1977

---

DFT (PBE) results for crystalline RbAuI at its relaxed geometry.

raw formation energy = -2.26 eV per formula unit

abc: 5.7306 5.7306 8.8440
angles: 87.19 87.19 76.32
Sites, in units of the cell vectors:
Rb  0.2819  0.2819  0.7386
Rb  0.7181  0.7181  0.2614
Au  0.8983  0.8983  0.6082
Au  0.1017  0.1017  0.3918
I  0.3189  0.3189  0.1682
I  0.6811  0.6811  0.8318

---

DFT (PBE) results for crystalline Rb4AuI3 at its relaxed geometry.

raw formation energy = -9.49 eV per formula unit

abc: 5.2305 9.0631 9.0631
angles: 109.44 90.00 90.00
Sites, in units of the cell vectors:
Rb  0.0000  0.2436  0.2436
Rb  0.5000  0.2468  0.7532
Rb  0.5000  0.7532  0.2468
Rb  0.0000  0.7564  0.7564
I  0.5000  0.5000  0.5000
I  0.0000  0.5000  0.0000
I  0.0000  0.0000  0.5000
Au  0.5000  0.0000  0.0000

---

DFT (PBE) results for crystalline Rb2AuI8 at its relaxed geometry.

raw formation energy = -5.79 eV per formula unit

abc: 7.4734 7.8118 10.1494
angles: 97.53 111.60 90.00
Sites, in units of the cell vectors:
I  0.0634  0.4177  0.1267
I  0.4270  0.6839  0.8540
I  0.6259  0.8582  0.2518
I  0.7869  0.7306  0.5737
I  0.3741  0.1418  0.7482
I  0.9366  0.5823  0.8733
I  0.2131  0.2694  0.4263
I  0.5730  0.3161  0.1460
Rb  0.2275  0.7649  0.4550
Rb  0.7725  0.2351  0.5450
Au  0.5000  0.0000  0.0000

---

DFT (PBE) results for crystalline Rb2RuAuI6 at its relaxed geometry.

raw formation energy = -5.07 eV per formula unit

abc: 8.1458 8.1458 8.1120
angles: 59.86 59.86 90.00
Last column: magnetic moment on the atom in μB.
Sites, in units of the cell vectors:
Rb  0.2500  0.7500  0.5000  0.00
Rb  0.7500  0.2500  0.5000  0.00
I  0.2581  0.2581  0.4839  0.02
I  0.2607  0.2607  0.0000  0.02
I  0.7393  0.2607  0.0000  0.02
I  0.7393  0.7393  0.0000  0.02
I  0.7419  0.7419  0.5161  0.02
I  0.2607  0.7393  0.0000  0.02
Au  0.0000  0.0000  0.0000  -0.01
Ru  0.5000  0.5000  0.0000  0.96

---

DFT (PBE) results for crystalline RbAu2SI at its relaxed geometry.

raw formation energy = 1.59 eV per formula unit

abc: 5.3599 7.6643 5.3599
angles: 90.00 90.00 90.00
Last column: magnetic moment on the atom in μB.
Sites, in units of the cell vectors:
I  0.0000  0.0000  0.0000  -0.01
S  0.5000  0.5000  0.5000  0.59
Rb  0.0000  0.5000  0.0000  0.00
Au  0.0000  0.0000  0.5000  -0.01
Au  0.5000  0.0000  0.0000  0.00

---

Q: What is the raw formation energy in the first record?
A: -4.58 eV per formula unit

---

Q: Which formula does entry 6 have?
A: Rb2AuI8

---

Q: Which formula does entry 7 have?
A: Rb2RuAuI6

---

Q: What is the formula in the third record?
A: Rb3Au2I7